Entry from Alexandria: a geometry-optimized HfReBi2O structure (PBE-GGA).

Cell and atoms, written as CIF:
```
data_HfReBi2O
_cell_length_a 5.216
_cell_length_b 5.216
_cell_length_c 3.775
_cell_angle_alpha 90.00
_cell_angle_beta 90.00
_cell_angle_gamma 90.00
_space_group_name_H-M_alt 'P 1'
_space_group_IT_number 1
_space_group_name_Hall 'P 1'
loop_
_atom_site_label
_atom_site_type_symbol
_atom_site_fract_x
_atom_site_fract_y
_atom_site_fract_z
_atom_site_occupancy
Hf1 Hf 0.000 0.000 0.000 1
Re1 Re 0.500 0.500 0.000 1
Bi1 Bi 0.000 0.500 0.500 1
Bi2 Bi 0.500 0.000 0.500 1
O1 O 0.500 0.500 0.500 1
```

For the density of states at the Fermi level, the calculation gives 4.1 states/eV/f.u. The formation energy from raw total energies comes out at 0.114 eV/atom. As for the space group: P4/mmm, No. 123. The final energy is -6.910 eV per atom.